TaTc2Te: optimized geometry, GGA-PBEsol.

Cell: 5.1837 5.1837 2.9913 Å, 102.89 102.89 114.66°
Fractional positions:
Ta 0.0000 0.0000 0.0000
Tc 0.0000 0.5000 0.5000
Tc 0.5000 0.0000 0.5000
Te 0.5000 0.5000 0.0000

Values from the calculation:
Total magnetic moment   0.00 μB per formula unit
Uncorrected formation energy   0.403 eV per atom
Calculated total energy   -9.250 eV/atom
DOS(E_F)   4.36 states/eV/cell

=====

TaTe2PtI: optimized geometry, GGA-PBEsol.

Cell: 5.1882 5.1882 5.1815 Å, 90.00 90.00 90.00°
Fractional positions:
Ta 0.0000 0.0000 0.0000
Te 0.0000 0.5000 0.5000
Te 0.5000 0.0000 0.5000
Pt 0.5000 0.5000 0.5000
I 0.5000 0.5000 0.0000

Values from the calculation:
Total magnetic moment   2.05 μB per formula unit
Uncorrected formation energy   1.050 eV per atom
Calculated total energy   -4.617 eV/atom
DOS(E_F)   4.37 states/eV/cell

=====

Bi6Br7: optimized geometry, GGA-PBEsol.

Cell: 15.4995 23.5159 9.0392 Å, 90.00 90.00 90.00°
Fractional positions:
Bi 0.0443 0.0895 0.0000
Bi 0.0660 0.8966 0.5000
Bi 0.0975 0.5884 0.5000
Bi 0.1143 0.4291 0.0000
Bi 0.1583 0.3472 0.2616
Bi 0.1583 0.3472 0.7384
Bi 0.1599 0.7991 0.3235
Bi 0.1599 0.7991 0.6765
Bi 0.1674 0.2626 0.0000
Bi 0.1813 0.6411 0.0000
Bi 0.2149 0.9477 0.3159
Bi 0.2149 0.9477 0.6841
Bi 0.2851 0.4477 0.1841
Bi 0.2851 0.4477 0.8159
Bi 0.3187 0.1411 0.5000
Bi 0.3326 0.7626 0.5000
Bi 0.3401 0.2991 0.1765
Bi 0.3401 0.2991 0.8235
Bi 0.3417 0.8472 0.2384
Bi 0.3417 0.8472 0.7616
Bi 0.3857 0.9291 0.5000
Bi 0.4025 0.0884 0.0000
Bi 0.4340 0.3966 0.0000
Bi 0.4557 0.5895 0.5000
Bi 0.5443 0.4105 0.5000
Bi 0.5660 0.6034 0.0000
Bi 0.5975 0.9116 0.0000
Bi 0.6143 0.0709 0.5000
Bi 0.6583 0.1528 0.2384
Bi 0.6583 0.1528 0.7616
Bi 0.6599 0.7009 0.1765
Bi 0.6599 0.7009 0.8235
Bi 0.6674 0.2374 0.5000
Bi 0.6813 0.8589 0.5000
Bi 0.7149 0.5523 0.1841
Bi 0.7149 0.5523 0.8159
Bi 0.7851 0.0523 0.3159
Bi 0.7851 0.0523 0.6841
Bi 0.8187 0.3589 0.0000
Bi 0.8326 0.7374 0.0000
Bi 0.8401 0.2009 0.3235
Bi 0.8401 0.2009 0.6765
Bi 0.8417 0.6528 0.2616
Bi 0.8417 0.6528 0.7384
Bi 0.8857 0.5709 0.0000
Bi 0.9024 0.4116 0.5000
Bi 0.9340 0.1034 0.5000
Bi 0.9557 0.9105 0.0000
Br 0.0000 0.0000 0.2231
Br 0.0000 0.0000 0.7769
Br 0.0058 0.6921 0.5000
Br 0.0406 0.7139 0.0000
Br 0.0561 0.1685 0.2261
Br 0.0561 0.1685 0.7739
Br 0.0795 0.5567 0.1893
Br 0.0795 0.5567 0.8107
Br 0.0855 0.4506 0.5000
Br 0.1335 0.8872 0.0000
Br 0.1711 0.0630 0.5000
Br 0.2112 0.6651 0.3110
Br 0.2112 0.6651 0.6890
Br 0.2180 0.2427 0.5000
Br 0.2191 0.0357 0.0000
Br 0.2809 0.5357 0.5000
Br 0.2820 0.7427 0.0000
Br 0.2888 0.1651 0.1890
Br 0.2888 0.1651 0.8110
Br 0.3289 0.5630 0.0000
Br 0.3665 0.3872 0.5000
Br 0.4145 0.9506 0.0000
Br 0.4205 0.0567 0.3107
Br 0.4205 0.0567 0.6893
Br 0.4439 0.6685 0.2739
Br 0.4439 0.6685 0.7261
Br 0.4594 0.2139 0.5000
Br 0.4942 0.1921 0.0000
Br 0.5000 0.5000 0.2769
Br 0.5000 0.5000 0.7231
Br 0.5058 0.8079 0.0000
Br 0.5406 0.7861 0.5000
Br 0.5561 0.3315 0.2739
Br 0.5561 0.3315 0.7261
Br 0.5795 0.9433 0.3107
Br 0.5795 0.9433 0.6893
Br 0.5855 0.0494 0.0000
Br 0.6335 0.6128 0.5000
Br 0.6711 0.4370 0.0000
Br 0.7112 0.8349 0.1890
Br 0.7112 0.8349 0.8110
Br 0.7180 0.2573 0.0000
Br 0.7191 0.4643 0.5000
Br 0.7809 0.9643 0.0000
Br 0.7820 0.7573 0.5000
Br 0.7888 0.3349 0.3110
Br 0.7888 0.3349 0.6890
Br 0.8289 0.9370 0.5000
Br 0.8665 0.1128 0.0000
Br 0.9145 0.5494 0.5000
Br 0.9205 0.4433 0.1893
Br 0.9205 0.4433 0.8107
Br 0.9439 0.8315 0.2261
Br 0.9439 0.8315 0.7739
Br 0.9594 0.2861 0.0000
Br 0.9942 0.3079 0.5000

Values from the calculation:
Total magnetic moment   0.00 μB per formula unit
Uncorrected formation energy   -0.480 eV per atom
Calculated total energy   -3.465 eV/atom

=====

MgSi2Pt: optimized geometry, GGA-PBEsol.

Cell: 7.8411 7.8411 7.8411 Å, 23.54 23.54 23.54°
Fractional positions:
Mg 0.0000 0.0000 0.0000
Si 0.2392 0.2392 0.2392
Si 0.7608 0.7608 0.7608
Pt 0.5000 0.5000 0.5000

Values from the calculation:
Total magnetic moment   0.00 μB per formula unit
Uncorrected formation energy   -0.192 eV per atom
Calculated total energy   -5.235 eV/atom
DOS(E_F)   1.16 states/eV/cell

=====

Co3BiC: optimized geometry, GGA-PBEsol.

Cell: 3.8940 3.8940 3.8940 Å, 90.00 90.00 90.00°
Fractional positions:
Co 0.0000 0.0000 0.5000
Co 0.0000 0.5000 0.0000
Co 0.5000 0.0000 0.0000
Bi 0.5000 0.5000 0.5000
C 0.0000 0.0000 0.0000

Values from the calculation:
Energy relative to the elements   0.25 eV per atom
Total magnetic moment   2.92 μB per formula unit
Calculated total energy   -7.180 eV/atom
DOS(E_F)   3.84 states/eV/cell

=====

KCr3: optimized geometry, GGA-PBEsol.

Cell: 4.5589 4.5589 4.5589 Å, 90.00 90.00 90.00°
Fractional positions:
K 0.0000 0.0000 0.0000
Cr 0.0000 0.5000 0.5000
Cr 0.5000 0.0000 0.5000
Cr 0.5000 0.5000 0.0000

Values from the calculation:
Energy relative to the elements   1.95 eV per atom
Total magnetic moment   14.29 μB per formula unit
Calculated total energy   -6.019 eV/atom
DOS(E_F)   4.48 states/eV/cell

=====

Al2ZnPb: optimized geometry, GGA-PBEsol.

Cell: 3.3171 3.3171 7.2504 Å, 90.00 90.00 90.00°
Fractional positions:
Al 0.0000 0.0000 0.0000
Al 0.5000 0.5000 0.2104
Zn 0.5000 0.5000 0.8114
Pb 0.0000 0.0000 0.5231

Values from the calculation:
Energy relative to the elements   0.19 eV per atom
Total magnetic moment   0.00 μB per formula unit
Calculated total energy   -3.254 eV/atom
DOS(E_F)   1.72 states/eV/cell

=====

MgNiSb2: optimized geometry, GGA-PBEsol.

Cell: 4.5093 4.5093 3.8486 Å, 90.00 90.00 90.00°
Fractional positions:
Mg 0.0000 0.0000 0.0000
Ni 0.5000 0.5000 0.0000
Sb 0.0000 0.5000 0.5000
Sb 0.5000 0.0000 0.5000

Values from the calculation:
Total magnetic moment   0.00 μB per formula unit
Uncorrected formation energy   0.071 eV per atom
Calculated total energy   -4.177 eV/atom
DOS(E_F)   2.07 states/eV/cell